PBE-GGA NdTm2Pt, optimized geometry; energy above the most stable polymorph in this dataset = 0.0000 eV per atom; formation energy from the elements = -0.71 eV per atom; symmetry = Pnma
1.0
6.5111 0.0000 0.0000
0.0000 7.1286 0.0000
0.0000 0.0000 9.5214
Tm Nd Pt
8 4 4
Cartesian
2.1263 1.2596 0.5958 Tm
1.1293 4.8239 0.5958 Tm
4.3849 5.8690 8.9257 Tm
4.3849 5.8690 5.3565 Tm
1.1293 4.8239 4.1650 Tm
5.3818 2.3047 5.3565 Tm
5.3818 2.3047 8.9257 Tm
2.1263 1.2596 4.1650 Tm
5.6553 0.1369 2.3804 Nd
4.1114 3.7012 2.3804 Nd
2.3997 3.4274 7.1411 Nd
0.8558 6.9917 7.1411 Nd
3.7223 0.8180 7.1411 Pt
2.7888 6.3106 2.3804 Pt
6.0444 4.3823 7.1411 Pt
0.4667 2.7463 2.3804 Pt